ZnPtSe: relaxed, PBE-GGA.

## Properties
The calculated total energy comes out at -11.3 eV per formula unit. The uncorrected formation energy comes out at -163 meV/atom. Its space-group type is Amm2. Its calculated volume is 18.329 A^3/atom.

Cell: 4.035 2.844 13.599 Å, 90.00 90.00 135.19°
Element x y z (fractional)
Pt  0.026  0.053  0.500
Pt  0.529  0.058  0.000
Se  0.529  0.059  0.820
Se  0.529  0.059  0.180
Zn  0.526  0.053  0.627
Zn  0.526  0.053  0.373

---

Mn2Bi2Cl: relaxed, PBE-GGA.

## Properties
The calculated total energy comes out at -26.7 eV per formula unit. The uncorrected formation energy comes out at 259 meV/atom. Its space-group type is P4/mbm. Its calculated volume is 24.204 A^3/atom.

Cell: 8.581 8.581 3.287 Å, 90.00 90.00 90.00°
Element x y z (fractional)
Cl  0.000  0.000  0.000
Cl  0.500  0.500  0.000
Mn  0.646  0.854  0.500
Mn  0.854  0.354  0.500
Mn  0.146  0.646  0.500
Mn  0.354  0.146  0.500
Bi  0.648  0.148  0.000
Bi  0.852  0.648  0.000
Bi  0.352  0.852  0.000
Bi  0.148  0.352  0.000

---

BaCl: relaxed, PBE-GGA.

## Properties
The calculated total energy comes out at -7.0 eV per formula unit. The uncorrected formation energy comes out at -1632 meV/atom. Its space-group type is I4_1/amd. Its calculated volume is 43.076 A^3/atom.

Cell: 9.227 9.227 9.227 Å, 152.05 152.05 39.94°
Element x y z (fractional)
Cl  0.750  0.250  0.500
Cl  0.500  0.500  0.000
Ba  0.000  0.000  0.000
Ba  0.250  0.750  0.500

---

Ba6NaNO: relaxed, PBE-GGA.

## Properties
The calculated total energy comes out at -31.9 eV per formula unit. The uncorrected formation energy comes out at -638 meV/atom. Its space-group type is P1. Its calculated volume is 54.143 A^3/atom.

Cell: 9.806 9.845 7.325 Å, 94.84 85.75 44.79°
Element x y z (fractional)
Ba  0.315  0.678  0.347
Ba  0.458  0.882  0.734
Ba  0.119  0.543  0.734
Ba  0.553  0.120  0.265
Ba  0.665  0.333  0.670
Ba  0.877  0.450  0.260
N  0.404  0.406  0.503
O  0.594  0.600  0.501
Na  0.016  0.987  0.986

---

SrLi4Hg3F12: relaxed, PBE-GGA.

## Properties
The calculated total energy comes out at -80.7 eV per formula unit. The uncorrected formation energy comes out at -2398 meV/atom. Its space-group type is Im-3. Its calculated volume is 12.197 A^3/atom.

Cell: 6.818 6.818 6.818 Å, 109.47 109.47 109.47°
Element x y z (fractional)
F  0.713  0.807  0.520
F  0.480  0.287  0.193
F  0.907  0.713  0.193
F  0.193  0.907  0.713
F  0.287  0.193  0.480
F  0.807  0.093  0.287
F  0.287  0.807  0.093
F  0.520  0.713  0.807
F  0.807  0.520  0.713
F  0.093  0.287  0.807
F  0.193  0.480  0.287
F  0.713  0.193  0.907
Li  0.000  0.500  0.000
Li  0.500  0.500  0.500
Li  0.000  0.000  0.500
Li  0.500  0.000  0.000
Hg  0.000  0.500  0.500
Hg  0.500  0.500  0.000
Hg  0.500  0.000  0.500
Sr  0.000  0.000  0.000

---

CuGeSe2Br: relaxed, PBE-GGA.

## Properties
The calculated total energy comes out at -14.7 eV per formula unit. The uncorrected formation energy comes out at 525 meV/atom. Its space-group type is P4/mmm. Its calculated volume is 26.445 A^3/atom.

Cell: 4.994 4.994 5.303 Å, 90.00 90.00 90.00°
Element x y z (fractional)
Se  0.500  0.000  0.000
Se  0.000  0.500  0.000
Ge  0.000  0.000  0.000
Br  0.000  0.000  0.500
Cu  0.500  0.500  0.500

---

TlCd2In4Hg: relaxed, PBE-GGA.

## Properties
The calculated total energy comes out at -15.0 eV per formula unit. The calculated formation energy is 0.4 eV per formula unit. Its space-group type is I-42m. Its calculated volume is 26.756 A^3/atom.

Cell: 6.689 6.572 6.572 Å, 74.99 59.41 59.41°
Element x y z (fractional)
Cd  0.000  0.500  0.500
Cd  0.500  0.500  0.500
In  0.998  0.000  0.501
In  0.499  0.000  0.499
In  0.002  0.499  0.000
In  0.501  0.501  0.000
Hg  0.500  0.000  0.000
Tl  0.000  0.000  0.000

---

Zr3HgS: relaxed, PBE-GGA.

## Properties
The calculated total energy comes out at -33.8 eV per formula unit. The uncorrected formation energy comes out at -747 meV/atom. Its space-group type is Cmcm. Its calculated volume is 21.069 A^3/atom.

Cell: 3.676 6.181 9.711 Å, 90.00 90.00 107.29°
Element x y z (fractional)
S  0.500  0.000  0.500
S  0.500  0.000  0.000
Hg  0.244  0.488  0.750
Hg  0.756  0.512  0.250
Zr  0.140  0.280  0.449
Zr  0.860  0.720  0.949
Zr  0.860  0.720  0.551
Zr  0.140  0.280  0.051
Zr  0.545  0.090  0.750
Zr  0.455  0.910  0.250